# Li6Mg2Al PBE relaxed
data_Li6Mg2Al
_symmetry_space_group_name_H-M 'P -6 2 m'
_symmetry_Int_Tables_number 189
_symmetry_space_group_name_Hall 'P -6 -2'
_cell_length_a 8.3053
_cell_length_b 8.3053
_cell_length_c 2.9297
_cell_angle_alpha 90.00
_cell_angle_beta 90.00
_cell_angle_gamma 120.00
loop_
_atom_site_label
_atom_site_fract_x
_atom_site_fract_y
_atom_site_fract_z
Li1 0.0000 0.2978 0.0000
Li2 0.0000 0.6539 0.5000
Mg1 0.3333 0.6667 0.0000
Al1 0.0000 0.0000 0.5000
# ΔE_f: -24 meV per atom
# Energy: -18.63 eV for the cell shown
# Density of states at the Fermi level: 4.5 states/eV/f.u.

=====

# TcSb2As PBE relaxed
data_TcSb2As
_symmetry_space_group_name_H-M 'F -4 3 m'
_symmetry_Int_Tables_number 216
_symmetry_space_group_name_Hall 'F -4 2 3'
_cell_length_a 6.865
_cell_length_b 6.865
_cell_length_c 6.865
_cell_angle_alpha 90.00
_cell_angle_beta 90.00
_cell_angle_gamma 90.00
loop_
_atom_site_label
_atom_site_fract_x
_atom_site_fract_y
_atom_site_fract_z
Tc1 0.000 0.000 0.000
Sb1 0.000 0.000 0.500
Sb2 0.250 0.250 0.750
As1 0.250 0.250 0.250
# Formation energy (no corrections): 0.541 eV/atom
# Energy: -84.39 eV for the cell shown
# Density of states at the Fermi level: 3.9 states/eV/f.u.

=====

# AcPaO PBE relaxed
data_AcPaO
_symmetry_space_group_name_H-M 'R -3 m'
_symmetry_Int_Tables_number 166
_symmetry_space_group_name_Hall '-R 3 2"'
_cell_length_a 3.7322
_cell_length_b 3.7322
_cell_length_c 36.9540
_cell_angle_alpha 90.00
_cell_angle_beta 90.00
_cell_angle_gamma 120.00
loop_
_atom_site_label
_atom_site_fract_x
_atom_site_fract_y
_atom_site_fract_z
Ac1 0.0000 0.0000 0.2157
Pa1 0.0000 0.0000 0.0400
O1 0.0000 0.0000 0.4009
# Formation energy (no corrections): -1.314 eV/atom
# Energy: -135.03 eV for the cell shown
# Density of states at the Fermi level: 4.2 states/eV/f.u.

=====

# KCaMn2 PBE relaxed
data_KCaMn2
_symmetry_space_group_name_H-M 'R -3 m'
_symmetry_Int_Tables_number 166
_symmetry_space_group_name_Hall '-R 3 2"'
_cell_length_a 3.4246
_cell_length_b 3.4246
_cell_length_c 33.5483
_cell_angle_alpha 90.00
_cell_angle_beta 90.00
_cell_angle_gamma 120.00
loop_
_atom_site_label
_atom_site_fract_x
_atom_site_fract_y
_atom_site_fract_z
K1 0.0000 0.0000 0.0000
Ca1 0.0000 0.0000 0.5000
Mn1 0.0000 0.0000 0.2424
# ΔE_f: 939 meV per atom
# Energy: -53.04 eV for the cell shown
# Density of states at the Fermi level: 4.7 states/eV/f.u.

=====

Q: Among the records above, which one has the highest energy?
A: Li6Mg2Al

=====

Q: The highest density of states at the Fermi level belongs to which entry?
A: KCaMn2